No. 1
Ce4SeS6 | PBE-GGA | relaxed

Cell: 7.1369 9.5058 9.5058 Å, 120.00 90.00 90.00°
Site moments in Bohr magnetons follow the coordinates.
Atoms (fractional coordinates):
Ce 0.3411 0.3333 0.6667  0.48
Ce 0.8411 0.6667 0.3333  0.48
Ce 0.8821 0.6462 0.8231  0.59
Ce 0.8821 0.1769 0.3538  0.59
Ce 0.8821 0.1769 0.8231  0.59
Ce 0.3821 0.3538 0.1769  0.59
Ce 0.3821 0.8231 0.6462  0.59
Ce 0.3821 0.8231 0.1769  0.59
Se 0.7269 0.3333 0.6667  -0.04
Se 0.2269 0.6667 0.3333  -0.04
S 0.4831 0.7168 0.8584  -0.03
S 0.4831 0.1416 0.2832  -0.03
S 0.4831 0.1416 0.8584  -0.03
S 0.9831 0.2832 0.1416  -0.03
S 0.9831 0.8584 0.7168  -0.03
S 0.9831 0.8584 0.1416  -0.03
S 0.6096 0.9204 0.4602  -0.03
S 0.6096 0.5398 0.0796  -0.03
S 0.6096 0.5398 0.4602  -0.03
S 0.1096 0.0796 0.5398  -0.03
S 0.1096 0.4602 0.9204  -0.03
S 0.1096 0.4602 0.5398  -0.03

Summary:
M_tot: 2.087 μB per formula unit
V: 25.39 Å³ per atom
relative energy among the computed polymorphs: 0.069 eV/atom
calculated density: 4.946 Mg/m³
E_form (uncorrected): -1.78 eV/atom


No. 2
Ce2SeS | PBE-GGA | relaxed

Cell: 4.0975 4.0975 7.1458 Å, 73.34 73.34 60.00°
Site moments in Bohr magnetons follow the coordinates.
Atoms (fractional coordinates):
S 0.0000 0.0000 0.0000  -0.02
Se 0.5000 0.5000 0.5000  -0.02
Ce 0.2555 0.2555 0.2335  0.64
Ce 0.7445 0.7445 0.7665  0.64

Summary:
M_tot: 1.466 μB per formula unit
V: 24.51 Å³ per atom
relative energy among the computed polymorphs: 0.000 eV/atom
calculated density: 6.627 Mg/m³
E_form (uncorrected): -1.93 eV/atom